Record 1
Material: Si2TcCl
Method: DFT, PBE-GGA
State: relaxed

Values from the calculation:
M_tot = 0.00 μB/f.u.
energy relative to the elements, uncorrected = -0.0133 eV/atom
theoretical density = 4.91 Mg/m³
ΔE to the lowest computed polymorph = 0.0000 eV/atom
crystal system = trigonal

Cell lengths 7.7090, 7.7090, 7.7090 Å; angles 23.52, 23.52, 23.52 degrees
Positions (direct):
1 Cl 0.7500 0.7500 0.7500
2 Si 0.9905 0.9905 0.9905
3 Si 0.5095 0.5095 0.5095
4 Tc 0.2500 0.2500 0.2500

***

Record 2
Material: SiTcCl
Method: DFT, PBE-GGA
State: relaxed

Values from the calculation:
M_tot = 0.00 μB/f.u.
energy relative to the elements, uncorrected = -0.3157 eV/atom
theoretical density = 4.54 Mg/m³
ΔE to the lowest computed polymorph = 0.1409 eV/atom
crystal system = monoclinic

Cell lengths 3.9768, 2.9926, 19.9553 Å; angles 90.00, 96.20, 90.00 degrees
Positions (direct):
1 Si 0.4146 0.0000 0.3857
2 Si 0.4146 0.5000 0.8857
3 Si 0.1566 0.0000 0.7910
4 Si 0.1566 0.5000 0.2910
5 Tc 0.6285 0.0000 0.2671
6 Tc 0.6285 0.5000 0.7671
7 Tc 0.9104 0.0000 0.8958
8 Tc 0.9104 0.5000 0.3958
9 Cl 0.5944 0.0000 0.6696
10 Cl 0.5944 0.5000 0.1696
11 Cl 0.0069 0.0000 0.0117
12 Cl 0.0069 0.5000 0.5117